Material: Mg2CuIrO6
Method: DFT, PBE
State: relaxed

Cell lengths 5.108, 4.882, 9.791 Å; angles 61.53, 90.00, 90.00 degrees
Site moments in Bohr magnetons follow the coordinates.
Sites, in units of the cell vectors:
Mg1 0.064 0.797 0.243  0.01
Mg2 0.564 0.203 0.257  0.01
Mg3 0.936 0.203 0.757  0.01
Mg4 0.436 0.797 0.743  0.01
O1 0.296 0.191 0.101  0.02
O2 0.796 0.809 0.399  0.02
O3 0.293 0.881 0.427  0.10
O4 0.095 0.528 0.803  0.20
O5 0.793 0.119 0.073  0.10
O6 0.204 0.191 0.601  0.02
O7 0.207 0.881 0.927  0.10
O8 0.905 0.472 0.197  0.20
O9 0.405 0.528 0.303  0.20
O10 0.704 0.809 0.899  0.02
O11 0.707 0.119 0.573  0.10
O12 0.595 0.472 0.697  0.20
Ir1 0.500 0.500 0.500  0.91
Ir2 0.000 0.500 0.000  0.91
Cu1 0.500 0.000 0.000  -0.02
Cu2 0.000 0.000 0.500  -0.02

Formation energy (no corrections)   -136.7 kJ per mole of atoms
Volume   10.73 Å³/atom
SG   No. 14
Energy relative to the lowest polymorph listed for this composition   0.000 eV per formula unit
Magnetization   1.7 μB per formula unit